# Pm3Ho2Sn3 GGA-PBE optimized geometry
data_Pm3Ho2Sn3
_cell_length_a 9.1076
_cell_length_b 9.1076
_cell_length_c 6.6374
_cell_angle_alpha 90.00
_cell_angle_beta 90.00
_cell_angle_gamma 120.00
_space_group_name_H-M_alt 'P 63/m c m'
_space_group_IT_number 193
_space_group_name_Hall '-P 6c 2'
loop_
_atom_site_label
_atom_site_fract_x
_atom_site_fract_y
_atom_site_fract_z
Pm1 0.0000 0.2416 0.2500
Ho1 0.3333 0.6667 0.0000
Sn1 0.0000 0.3976 0.7500
# Electronic total energy = -82.4 eV/cell
# Total moment = 0.01 μB/f.u.